(1)
DFT (PBE) results for a geometry-optimized Sc4Zn2Hg structure.

Structure (POSCAR):
```
Sc4Zn2Hg
1.0
-4.248 -1.722 -1.305
-0.730 -4.708 -0.111
-3.966 -1.957 6.791
Sc Zn Hg
4 2 1
direct
0.868 0.868 0.396
0.132 0.132 0.604
0.614 0.614 0.159
0.386 0.386 0.841
0.747 0.747 0.758
0.253 0.253 0.242
0.000 0.000 0.000
```

Values from the calculation:
- calculated formation energy (eV per atom) = -0.20
- M_tot (μB per formula unit) = 0.000
- Fermi-level density of states (states/eV/cell) = 9.5
- space group = R-3m



(2)
DFT (PBE) results for a geometry-optimized Ce3Co2Sn structure.

Structure (POSCAR):
```
Ce3Co2Sn
1.0
-2.552 -3.458 -0.919
1.095 -2.676 7.030
-5.078 6.104 1.646
Ce Co Sn
6 4 2
direct
0.217 0.179 0.433
0.099 0.626 0.197
0.413 0.632 0.826
0.783 0.821 0.567
0.587 0.368 0.174
0.901 0.374 0.803
0.230 0.555 0.459
0.770 0.445 0.541
0.966 0.847 0.931
0.034 0.153 0.069
0.412 0.060 0.824
0.588 0.940 0.176
```

Values from the calculation:
- calculated formation energy (eV per atom) = -0.30
- M_tot (μB per formula unit) = 0.586
- Fermi-level density of states (states/eV/cell) = 18.5
- space group = C2/m



(3)
DFT (PBE) results for a geometry-optimized Sc4AgRu structure.

Structure (POSCAR):
```
Sc4AgRu
1.0
-0.429 -3.196 -0.501
0.211 -0.532 3.213
-11.614 1.404 0.996
Sc Ag Ru
4 1 1
direct
0.500 0.500 0.870
0.500 0.500 0.130
0.000 0.000 0.657
0.000 0.000 0.343
0.500 0.500 0.500
0.000 0.000 0.000
```

Values from the calculation:
- calculated formation energy (eV per atom) = -0.28
- M_tot (μB per formula unit) = 0.529
- Fermi-level density of states (states/eV/cell) = 7.3
- space group = P4/mmm
- polymorph energy (0 for the lowest one) (kcal/mol of atoms) = 0.00



(4)
DFT (PBE) results for a geometry-optimized La4CeHo structure.

Structure (POSCAR):
```
La4CeHo
1.0
-1.059 -2.307 -2.397
1.156 -3.170 5.084
-10.241 5.504 -0.773
La Ce Ho
4 1 1
direct
0.160 0.320 0.844
0.840 0.680 0.156
0.660 0.320 0.335
0.340 0.680 0.665
0.500 0.000 0.000
0.000 0.000 0.500
```

Values from the calculation:
- calculated formation energy (eV per atom) = 0.18
- M_tot (μB per formula unit) = 1.217
- Fermi-level density of states (states/eV/cell) = 13.8
- space group = C2/m



(5)
DFT (PBE) results for a geometry-optimized AsIrPt2 structure.

Structure (POSCAR):
```
AsIrPt2
1.0
-2.302 1.648 -0.235
-1.392 -2.473 -3.721
-2.402 -2.947 2.857
As Ir Pt
1 1 2
direct
0.500 0.000 0.500
0.000 0.500 0.500
0.000 0.000 0.000
0.500 0.500 0.000
```

Values from the calculation:
- calculated formation energy (eV per atom) = 0.12
- M_tot (μB per formula unit) = 0.000
- Fermi-level density of states (states/eV/cell) = 4.2
- space group = Pmmm



(6)
DFT (PBE) results for a geometry-optimized Rb2PuSbS5 structure.

Structure (POSCAR):
```
Rb2PuSbS5
1.0
4.262 0.000 0.000
-2.131 9.069 0.000
0.000 0.000 14.894
Rb Pu Sb S
4 2 2 10
direct
0.855 0.710 0.808
0.100 0.199 0.664
0.145 0.290 0.308
0.900 0.801 0.164
0.789 0.579 0.530
0.211 0.421 0.030
0.543 0.086 0.938
0.457 0.914 0.438
0.344 0.688 0.993
0.681 0.361 0.913
0.500 0.999 0.788
0.281 0.563 0.639
0.933 0.866 0.551
0.656 0.312 0.493
0.319 0.639 0.413
0.500 0.001 0.288
0.719 0.437 0.139
0.067 0.134 0.051
```

Values from the calculation:
- M_tot (μB per formula unit) = 3.011
- Fermi-level density of states (states/eV/cell) = 12.4
- space group = Cmc2_1
- formation energy from raw total energies (eV per formula unit) = -8.3



(7)
DFT (PBE) results for a geometry-optimized LaMg9Ag3 structure.

Structure (POSCAR):
```
LaMg9Ag3
1.0
5.217 0.013 2.118
2.528 7.150 1.026
-0.080 0.007 7.683
La Mg Ag
1 9 3
direct
0.000 0.000 0.000
0.709 0.789 0.780
0.291 0.211 0.220
0.511 0.211 0.780
0.489 0.789 0.220
0.651 0.341 0.354
0.349 0.659 0.646
0.995 0.659 0.354
0.005 0.341 0.646
0.000 0.500 0.000
0.500 0.500 0.000
0.000 0.000 0.500
0.500 0.000 0.500
```

Values from the calculation:
- calculated formation energy (eV per atom) = -0.18
- M_tot (μB per formula unit) = 0.000
- Fermi-level density of states (states/eV/cell) = 6.8
- space group = C2/m



(8)
DFT (PBE) results for a geometry-optimized Cs2CaS structure.

Structure (POSCAR):
```
Cs2CaS
1.0
0.000 4.557 4.557
4.557 0.000 4.557
4.557 4.557 0.000
Cs Ca S
2 1 1
direct
0.250 0.250 0.250
0.750 0.750 0.750
0.500 0.500 0.500
0.000 0.000 0.000
```

Values from the calculation:
- M_tot (μB per formula unit) = 0.000
- Fermi-level density of states (states/eV/cell) = 0.0
- space group = Fm-3m
- polymorph energy (0 for the lowest one) (kcal/mol of atoms) = 12.62
- formation energy from raw total energies (eV per formula unit) = -0.5



(9)
DFT (PBE) results for a geometry-optimized Mg4Zn2Ag structure.

Structure (POSCAR):
```
Mg4Zn2Ag
1.0
-1.969 -0.933 4.082
0.484 -4.192 1.897
5.725 0.606 5.522
Mg Zn Ag
4 2 1
direct
0.872 0.872 0.384
0.128 0.128 0.616
0.620 0.620 0.140
0.380 0.380 0.860
0.748 0.748 0.756
0.252 0.252 0.244
0.000 0.000 0.000
```

Values from the calculation:
- calculated formation energy (eV per atom) = -0.08
- M_tot (μB per formula unit) = 0.000
- Fermi-level density of states (states/eV/cell) = 2.1
- space group = R-3m



(10)
DFT (PBE) results for a geometry-optimized BeHPd2 structure.

Structure (POSCAR):
```
BeHPd2
1.0
5.525 0.000 0.000
0.000 5.525 0.000
2.763 2.763 2.802
Be Pd H
2 4 2
direct
0.000 0.000 0.000
0.750 0.250 0.500
0.566 0.125 0.250
0.184 0.625 0.250
0.375 0.434 0.750
0.875 0.816 0.750
0.500 0.500 0.000
0.250 0.750 0.500
```

Values from the calculation:
- M_tot (μB per formula unit) = 0.000
- Fermi-level density of states (states/eV/cell) = 2.2
- space group = I-42d
- polymorph energy (0 for the lowest one) (kcal/mol of atoms) = 3.81



(11)
DFT (PBE) results for a geometry-optimized LuCo2 structure.

Structure (POSCAR):
```
LuCo2
1.0
-2.358 -1.558 1.395
0.167 -2.236 -2.215
4.215 -0.472 3.037
Lu Co
1 2
direct
0.000 0.000 0.000
0.695 0.695 0.390
0.305 0.305 0.610
```

Values from the calculation:
- calculated formation energy (eV per atom) = 0.00
- M_tot (μB per formula unit) = 2.732
- Fermi-level density of states (states/eV/cell) = 4.0
- space group = I4/mmm



(12)
DFT (PBE) results for a geometry-optimized AcTbGaAg structure.

Structure (POSCAR):
```
AcTbGaAg
1.0
-0.121 -3.969 -3.630
4.242 -0.852 -3.197
3.055 -4.373 0.693
Ac Tb Ga Ag
1 1 1 1
direct
0.250 0.250 0.250
0.750 0.750 0.750
0.000 0.000 0.000
0.500 0.500 0.500
```

Values from the calculation:
- calculated formation energy (eV per atom) = -0.36
- M_tot (μB per formula unit) = 0.000
- Fermi-level density of states (states/eV/cell) = 3.4
- space group = F-43m



(13)
DFT (PBE) results for a geometry-optimized CeMoS2 structure.

Structure (POSCAR):
```
CeMoS2
1.0
3.506 0.001 0.000
-0.001 3.506 -0.002
-1.753 -1.751 6.360
Ce Mo S
1 1 2
direct
0.221 0.881 0.228
0.471 0.631 0.728
0.846 0.506 0.478
0.596 0.256 0.978
```

Values from the calculation:
- M_tot (μB per formula unit) = 1.773
- Fermi-level density of states (states/eV/cell) = 5.7
- space group = I-4m2
- polymorph energy (0 for the lowest one) (kcal/mol of atoms) = 0.00
- formation energy from raw total energies (eV per formula unit) = -3.8



(14)
DFT (PBE) results for a geometry-optimized BaTi2SnAs structure.

Structure (POSCAR):
```
BaTi2SnAs
1.0
4.972 0.000 0.000
0.000 5.869 0.000
0.000 0.000 4.972
As Ti Ba Sn
1 2 1 1
direct
0.000 0.000 0.000
0.000 0.000 0.500
0.500 0.000 0.000
0.500 0.500 0.500
0.000 0.500 0.000
```

Values from the calculation:
- calculated formation energy (eV per atom) = 0.13
- M_tot (μB per formula unit) = 2.997
- Fermi-level density of states (states/eV/cell) = 5.4
- space group = P4/mmm



(15)
DFT (PBE) results for a geometry-optimized Na2Ag17 structure.

Structure (POSCAR):
```
Na2Ag17
1.0
7.321 -0.061 -0.054
0.978 7.256 -0.054
0.978 0.848 7.206
Na Ag
2 17
direct
0.341 0.341 0.341
0.659 0.659 0.659
0.652 0.652 0.154
0.154 0.652 0.652
0.901 0.901 0.901
0.099 0.099 0.099
0.000 0.000 0.500
0.000 0.500 0.000
0.500 0.000 0.000
0.303 0.697 0.000
0.697 0.000 0.303
0.000 0.303 0.697
0.697 0.303 0.000
0.303 0.000 0.697
0.000 0.697 0.303
0.846 0.348 0.348
0.348 0.348 0.846
0.348 0.846 0.348
0.652 0.154 0.652
```

Values from the calculation:
- calculated formation energy (eV per atom) = 0.04
- M_tot (μB per formula unit) = 0.000
- Fermi-level density of states (states/eV/cell) = 6.0
- space group = R-3m



(16)
DFT (PBE) results for a geometry-optimized Ta2NiPt structure.

Structure (POSCAR):
```
Ta2NiPt
1.0
-1.913 1.354 -2.259
-2.573 -1.557 1.246
-1.034 4.628 3.648
Ni Pt Ta
1 1 2
direct
0.000 0.000 0.490
0.500 0.500 0.743
0.000 0.000 0.983
0.500 0.500 0.284
```

Values from the calculation:
- calculated formation energy (eV per atom) = -0.45
- M_tot (μB per formula unit) = 0.000
- Fermi-level density of states (states/eV/cell) = 2.1
- space group = P4mm



(17)
DFT (PBE) results for a geometry-optimized TbTm4Te2 structure.

Structure (POSCAR):
```
TbTm4Te2
1.0
-4.473 -1.562 2.542
-3.972 -2.359 -2.752
0.803 -9.180 1.458
Tb Tm Te
1 4 2
direct
0.500 0.500 0.500
0.736 0.736 0.792
0.866 0.866 0.403
0.264 0.264 0.208
0.134 0.134 0.597
0.619 0.619 0.144
0.381 0.381 0.856
```

Values from the calculation:
- M_tot (μB per formula unit) = 0.000
- Fermi-level density of states (states/eV/cell) = 5.2
- space group = R-3m
- formation energy from raw total energies (eV per formula unit) = -3.2



(18)
DFT (PBE) results for a geometry-optimized Al3GeOs structure.

Structure (POSCAR):
```
Al3GeOs
1.0
4.746 0.000 0.000
0.000 4.746 0.000
0.000 0.000 4.746
Ge Os Al
1 1 3
direct
0.500 0.500 0.500
0.000 0.000 0.000
0.000 0.500 0.000
0.000 0.000 0.500
0.500 0.000 0.000
```

Values from the calculation:
- calculated formation energy (eV per atom) = 0.31
- M_tot (μB per formula unit) = 0.000
- Fermi-level density of states (states/eV/cell) = 5.5
- space group = Pm-3m
- polymorph energy (0 for the lowest one) (kcal/mol of atoms) = 0.00



(19)
DFT (PBE) results for a geometry-optimized LiNbPdRh structure.

Structure (POSCAR):
```
LiNbPdRh
1.0
-0.961 -2.689 -1.056
2.282 -1.389 1.459
-3.706 -0.692 5.135
Li Nb Pd Rh
1 1 1 1
direct
0.000 0.000 0.858
0.000 0.000 0.346
0.500 0.500 0.632
0.500 0.500 0.092
```

Values from the calculation:
- calculated formation energy (eV per atom) = -0.37
- M_tot (μB per formula unit) = 0.000
- Fermi-level density of states (states/eV/cell) = 2.9
- space group = P4mm
- polymorph energy (0 for the lowest one) (kcal/mol of atoms) = 0.00



(20)
DFT (PBE) results for a geometry-optimized Cd2NiBr structure.

Structure (POSCAR):
```
Cd2NiBr
1.0
6.079 0.089 0.000
3.379 5.054 0.000
-4.729 -2.572 2.826
Br Cd Ni
1 2 1
direct
0.750 0.250 0.500
0.000 0.000 0.000
0.250 0.750 0.500
0.500 0.500 0.000
```

Values from the calculation:
- M_tot (μB per formula unit) = 0.000
- Fermi-level density of states (states/eV/cell) = 3.0
- space group = I-4m2
- polymorph energy (0 for the lowest one) (kcal/mol of atoms) = 8.08
- formation energy from raw total energies (eV per formula unit) = 1.3